## ZrCdHg2 (GGA-PBEsol)

Data for a relaxed ZrCdHg2 crystal.

Unit cell a=3.2015 b=3.2015 c=7.9899 alpha=90.00 beta=90.00 gamma=90.00
Closest atoms and distances in Å follow each position.
Element x y z (fractional)
Hg (0.0000, 0.0000, 0.7505)  4 Zr 3.02, 4 Cd 3.02, 4 Hg 3.20
Hg (0.0000, 0.0000, 0.2495)  4 Zr 3.02, 4 Cd 3.02, 4 Hg 3.20
Zr (0.5000, 0.5000, 0.0000)  8 Hg 3.02, 4 Zr 3.20
Cd (0.5000, 0.5000, 0.5000)  8 Hg 3.02, 4 Cd 3.20

Properties
ΔH_f (0 K) (eV/atom): -0.187
ρ (g/cm³): 12.264
Electronic total energy (eV/atom): -3.042
Crystal system: tetragonal
Space-group type: P4/mmm

=====

## GaIrSe2Br (GGA-PBEsol)

Data for a relaxed GaIrSe2Br crystal.

Unit cell a=4.5363 b=5.2384 c=5.2384 alpha=90.00 beta=90.00 gamma=90.00
Closest atoms and distances in Å follow each position.
Element x y z (fractional)
Ga (0.5000, 0.5000, 0.5000)  8 Se 3.46, 4 Ir 3.70
Ir (0.5000, 0.0000, 0.0000)  2 Br 2.27
Se (0.0000, 0.0000, 0.5000)  2 Br 2.62
Se (0.0000, 0.5000, 0.0000)  2 Br 2.62
Br (0.0000, 0.0000, 0.0000)  2 Ir 2.27

Properties
Formation energy from raw total energies (eV per atom): 1.285
ρ (g/cm³): 6.667
Electronic total energy (eV/atom): -3.262
Crystal system: tetragonal
Space-group type: P4/mmm

=====

## FeRe2Pt (GGA-PBEsol)

Data for a relaxed FeRe2Pt crystal.

Unit cell a=2.7230 b=2.7230 c=8.8999 alpha=81.20 beta=81.20 gamma=60.00
Closest atoms and distances in Å follow each position.
Element x y z (fractional)
Fe (0.4996, 0.4996, 0.5012)  3 Pt 2.64, 3 Re 2.66, 6 Fe 2.72
Pt (0.2469, 0.2469, 0.2594)  3 Fe 2.64, 6 Pt 2.72, 3 Re 2.81
Re (0.0023, 0.0023, 0.9931)  9 Re 2.67-2.72, 3 Pt 2.81
Re (0.7513, 0.7513, 0.7462)  3 Fe 2.66, 9 Re 2.67-2.72

Properties
ΔH_f (0 K) (eV/atom): 0.051
ρ (g/cm³): 18.401
Electronic total energy (eV/atom): -10.597
Crystal system: trigonal
Space-group type: R3m

=====

## LiOsN2F (GGA-PBEsol)

Data for a relaxed LiOsN2F crystal.

Unit cell a=3.7556 b=3.7556 c=4.4439 alpha=90.00 beta=90.00 gamma=90.00
Closest atoms and distances in Å follow each position.
Element x y z (fractional)
N (0.0000, 0.5000, 0.0000)  2 Os 1.88
N (0.5000, 0.0000, 0.0000)  2 Os 1.88
Os (0.0000, 0.0000, 0.0000)  4 N 1.88
Li (0.5000, 0.5000, 0.5000)  4 F 2.66, 8 N 2.91
F (0.0000, 0.0000, 0.5000)  2 Os 2.22

Properties
Formation energy from raw total energies (eV per atom): -0.273
ρ (g/cm³): 6.469
Energy above the lowest structure with this stoichiometry (eV/f.u.): 0.00
Electronic total energy (eV/atom): -6.906
Crystal system: tetragonal
Space-group type: P4/mmm

=====

Which value of ρ does entry 2 give? 6.667 g/cm³

=====

Which of these has the lowest ρ? LiOsN2F

=====

Please write out number 2 again, unchanged.
## GaIrSe2Br (GGA-PBEsol)

Data for a relaxed GaIrSe2Br crystal.

Unit cell a=4.5363 b=5.2384 c=5.2384 alpha=90.00 beta=90.00 gamma=90.00
Closest atoms and distances in Å follow each position.
Element x y z (fractional)
Ga (0.5000, 0.5000, 0.5000)  8 Se 3.46, 4 Ir 3.70
Ir (0.5000, 0.0000, 0.0000)  2 Br 2.27
Se (0.0000, 0.0000, 0.5000)  2 Br 2.62
Se (0.0000, 0.5000, 0.0000)  2 Br 2.62
Br (0.0000, 0.0000, 0.0000)  2 Ir 2.27

Properties
Formation energy from raw total energies (eV per atom): 1.285
ρ (g/cm³): 6.667
Electronic total energy (eV/atom): -3.262
Crystal system: tetragonal
Space-group type: P4/mmm